Entry 1:
DFT (PBE) results for crystalline TbSmBi2S2 at its relaxed geometry.

Computed properties:
Energy = -5.54 eV/atom
Crystal system = tetragonal

Geometry as CIF:
```
data_TbSmBi2S2
_symmetry_space_group_name_H-M 'P 4 m m'
_symmetry_Int_Tables_number 99
_cell_length_a 4.233
_cell_length_b 4.233
_cell_length_c 8.808
_cell_angle_alpha 90.00
_cell_angle_beta 90.00
_cell_angle_gamma 90.00
loop_
_symmetry_equiv_pos_as_xyz
'x,y,z'
'-y,x,z'
'-x,-y,z'
'y,-x,z'
'-x,y,z'
'y,x,z'
'x,-y,z'
'-y,-x,z'
loop_
_atom_site_label
_atom_site_type_symbol
_atom_site_fract_x
_atom_site_fract_y
_atom_site_fract_z
Tb1 Tb 0.000 0.000 0.000
Sm1 Sm 0.500 0.500 0.368
Bi1 Bi 0.000 0.500 0.685
S1 S 0.000 0.000 0.308
S2 S 0.500 0.500 0.054
```

---

Entry 2:
DFT (PBE) results for crystalline Tb3Bi2S at its relaxed geometry.

Computed properties:
Energy = -5.56 eV/atom
Crystal system = trigonal

Geometry as CIF:
```
data_Tb3Bi2S
_symmetry_space_group_name_H-M 'P -3 m 1'
_symmetry_Int_Tables_number 164
_symmetry_space_group_name_Hall '-P 3 2"'
_cell_length_a 4.2901
_cell_length_b 4.2901
_cell_length_c 10.6088
_cell_angle_alpha 90.00
_cell_angle_beta 90.00
_cell_angle_gamma 120.00
loop_
_atom_site_label
_atom_site_type_symbol
_atom_site_fract_x
_atom_site_fract_y
_atom_site_fract_z
Tb1 Tb 0.0000 0.0000 0.0000
Tb2 Tb 0.3333 0.6667 0.3609
Bi1 Bi 0.3333 0.6667 0.8201
S1 S 0.0000 0.0000 0.5000
```

---

Entry 3:
DFT (PBE) results for crystalline Tb3BiS2 at its relaxed geometry.

Computed properties:
Energy = -5.95 eV/atom
Crystal system = trigonal

Geometry as CIF:
```
data_Tb3BiS2
_symmetry_space_group_name_H-M 'P -3 m 1'
_symmetry_Int_Tables_number 164
_symmetry_space_group_name_Hall '-P 3 2"'
_cell_length_a 4.0997
_cell_length_b 4.0997
_cell_length_c 10.0869
_cell_angle_alpha 90.00
_cell_angle_beta 90.00
_cell_angle_gamma 120.00
loop_
_atom_site_label
_atom_site_type_symbol
_atom_site_fract_x
_atom_site_fract_y
_atom_site_fract_z
Tb1 Tb 0.0000 0.0000 0.0000
Tb2 Tb 0.3333 0.6667 0.2982
Bi1 Bi 0.0000 0.0000 0.5000
S1 S 0.3333 0.6667 0.8480
```

---

Entry 4:
DFT (PBE) results for crystalline TlZnBiS3 at its relaxed geometry.

Computed properties:
Energy = -3.83 eV/atom
Crystal system = orthorhombic

Geometry as CIF:
```
data_TlZnBiS3
_symmetry_space_group_name_H-M 'C m c m'
_symmetry_Int_Tables_number 63
_symmetry_space_group_name_Hall '-C 2c 2'
_cell_length_a 4.047
_cell_length_b 14.237
_cell_length_c 10.878
_cell_angle_alpha 90.00
_cell_angle_beta 90.00
_cell_angle_gamma 90.00
loop_
_atom_site_label
_atom_site_type_symbol
_atom_site_fract_x
_atom_site_fract_y
_atom_site_fract_z
Tl1 Tl 0.000 0.245 0.250
Zn1 Zn 0.000 0.042 0.750
Bi1 Bi 0.000 0.500 0.000
S1 S 0.000 0.129 0.568
S2 S 0.000 0.442 0.750
```

---

Entry 5:
DFT (PBE) results for crystalline Bi2WS6 at its relaxed geometry.

Computed properties:
Energy = -5.33 eV/atom
Crystal system = orthorhombic

Geometry as CIF:
```
data_Bi2WS6
_symmetry_space_group_name_H-M 'A e a 2'
_symmetry_Int_Tables_number 41
_cell_length_a 7.070
_cell_length_b 18.826
_cell_length_c 6.911
_cell_angle_alpha 90.00
_cell_angle_beta 90.00
_cell_angle_gamma 90.00
loop_
_symmetry_equiv_pos_as_xyz
'x,y,z'
'-x,-y,z'
'-x+1/2,y+1/2,z'
'x+1/2,-y+1/2,z'
'x,y+1/2,z+1/2'
'-x,-y+1/2,z+1/2'
'-x+1/2,y,z+1/2'
'x+1/2,-y,z+1/2'
loop_
_atom_site_label
_atom_site_type_symbol
_atom_site_fract_x
_atom_site_fract_y
_atom_site_fract_z
Bi1 Bi 0.066 0.178 0.000
W1 W 0.000 0.000 0.501
S1 S 0.099 0.109 0.617
S2 S 0.226 0.464 0.813
S3 S 0.241 0.265 0.275
```

---

Entry 6:
DFT (PBE) results for crystalline Sm4BiSb3 at its relaxed geometry.

Computed properties:
Energy = -5.53 eV/atom
Crystal system = cubic

Geometry as CIF:
```
data_Sm4BiSb3
_symmetry_space_group_name_H-M 'P m -3 m'
_symmetry_Int_Tables_number 221
_symmetry_space_group_name_Hall '-P 4 2 3'
_cell_length_a 6.349
_cell_length_b 6.349
_cell_length_c 6.349
_cell_angle_alpha 90.00
_cell_angle_beta 90.00
_cell_angle_gamma 90.00
loop_
_atom_site_label
_atom_site_type_symbol
_atom_site_fract_x
_atom_site_fract_y
_atom_site_fract_z
Sm1 Sm 0.000 0.000 0.000
Sm2 Sm 0.000 0.500 0.500
Bi1 Bi 0.500 0.500 0.500
Sb1 Sb 0.000 0.000 0.500
```

---

Entry 7:
DFT (PBE) results for crystalline Sm2BiSbTe2 at its relaxed geometry.

Computed properties:
Energy = -5.09 eV/atom
Crystal system = tetragonal

Geometry as CIF:
```
data_Sm2BiSbTe2
_symmetry_space_group_name_H-M 'P -4 m 2'
_symmetry_Int_Tables_number 115
_cell_length_a 4.377
_cell_length_b 4.377
_cell_length_c 9.451
_cell_angle_alpha 90.00
_cell_angle_beta 90.00
_cell_angle_gamma 90.00
loop_
_symmetry_equiv_pos_as_xyz
'x,y,z'
'y,-x,-z'
'-x,-y,z'
'-y,x,-z'
'-x,y,z'
'-y,-x,-z'
'x,-y,z'
'y,x,-z'
loop_
_atom_site_label
_atom_site_type_symbol
_atom_site_fract_x
_atom_site_fract_y
_atom_site_fract_z
Sm1 Sm 0.000 0.500 0.220
Bi1 Bi 0.000 0.000 0.500
Sb1 Sb 0.500 0.500 0.500
Te1 Te 0.000 0.500 0.875
```

---

Entry 8:
DFT (PBE) results for crystalline Sr2ZnBiSb at its relaxed geometry.

Computed properties:
Energy = -3.32 eV/atom
Crystal system = orthorhombic

Geometry as CIF:
```
data_Sr2ZnBiSb
_symmetry_space_group_name_H-M 'C m c 21'
_symmetry_Int_Tables_number 36
_cell_length_a 4.722
_cell_length_b 17.620
_cell_length_c 8.054
_cell_angle_alpha 90.00
_cell_angle_beta 90.00
_cell_angle_gamma 90.00
loop_
_symmetry_equiv_pos_as_xyz
'x,y,z'
'-x,-y,z+1/2'
'-x,y,z'
'x,-y,z+1/2'
'x+1/2,y+1/2,z'
'-x+1/2,-y+1/2,z+1/2'
'-x+1/2,y+1/2,z'
'x+1/2,-y+1/2,z+1/2'
loop_
_atom_site_label
_atom_site_type_symbol
_atom_site_fract_x
_atom_site_fract_y
_atom_site_fract_z
Sr1 Sr 0.000 0.026 0.000
Sr2 Sr 0.000 0.210 0.671
Zn1 Zn 0.000 0.410 0.845
Bi1 Bi 0.000 0.430 0.214
Sb1 Sb 0.000 0.165 0.269
```

---

Entry 9:
DFT (PBE) results for crystalline Sr2ZnBiSb at its relaxed geometry.

Computed properties:
Energy = -3.32 eV/atom
Crystal system = orthorhombic

Geometry as CIF:
```
data_Sr2ZnBiSb
_symmetry_space_group_name_H-M 'C m c 21'
_symmetry_Int_Tables_number 36
_cell_length_a 4.736
_cell_length_b 17.934
_cell_length_c 7.863
_cell_angle_alpha 90.00
_cell_angle_beta 90.00
_cell_angle_gamma 90.00
loop_
_symmetry_equiv_pos_as_xyz
'x,y,z'
'-x,-y,z+1/2'
'-x,y,z'
'x,-y,z+1/2'
'x+1/2,y+1/2,z'
'-x+1/2,-y+1/2,z+1/2'
'-x+1/2,y+1/2,z'
'x+1/2,-y+1/2,z+1/2'
loop_
_atom_site_label
_atom_site_type_symbol
_atom_site_fract_x
_atom_site_fract_y
_atom_site_fract_z
Sr1 Sr 0.000 0.023 0.000
Sr2 Sr 0.000 0.203 0.689
Zn1 Zn 0.000 0.413 0.849
Bi1 Bi 0.000 0.166 0.262
Sb1 Sb 0.000 0.434 0.214
```

---

Entry 10:
DFT (PBE) results for crystalline Tb3BiSb2 at its relaxed geometry.

Computed properties:
Energy = -5.43 eV/atom
Crystal system = trigonal

Geometry as CIF:
```
data_Tb3BiSb2
_symmetry_space_group_name_H-M 'P -3 m 1'
_symmetry_Int_Tables_number 164
_symmetry_space_group_name_Hall '-P 3 2"'
_cell_length_a 4.4213
_cell_length_b 4.4213
_cell_length_c 10.8486
_cell_angle_alpha 90.00
_cell_angle_beta 90.00
_cell_angle_gamma 120.00
loop_
_atom_site_label
_atom_site_type_symbol
_atom_site_fract_x
_atom_site_fract_y
_atom_site_fract_z
Tb1 Tb 0.0000 0.0000 0.0000
Tb2 Tb 0.3333 0.6667 0.3285
Bi1 Bi 0.0000 0.0000 0.5000
Sb1 Sb 0.3333 0.6667 0.8352
```

---

Entry 11:
DFT (PBE) results for crystalline Tb4BiSb3 at its relaxed geometry.

Computed properties:
Energy = -5.45 eV/atom
Crystal system = cubic

Geometry as CIF:
```
data_Tb4BiSb3
_symmetry_space_group_name_H-M 'P m -3 m'
_symmetry_Int_Tables_number 221
_symmetry_space_group_name_Hall '-P 4 2 3'
_cell_length_a 6.253
_cell_length_b 6.253
_cell_length_c 6.253
_cell_angle_alpha 90.00
_cell_angle_beta 90.00
_cell_angle_gamma 90.00
loop_
_atom_site_label
_atom_site_type_symbol
_atom_site_fract_x
_atom_site_fract_y
_atom_site_fract_z
Tb1 Tb 0.000 0.000 0.000
Tb2 Tb 0.000 0.500 0.500
Bi1 Bi 0.500 0.500 0.500
Sb1 Sb 0.000 0.000 0.500
```

---

Entry 12:
DFT (PBE) results for crystalline TcBiSb at its relaxed geometry.

Computed properties:
Crystal system = cubic
Distance to the lowest polymorph of the same formula = 0.0 meV/atom

Geometry as CIF:
```
data_TcBiSb
_symmetry_space_group_name_H-M 'F -4 3 m'
_symmetry_Int_Tables_number 216
_symmetry_space_group_name_Hall 'F -4 2 3'
_cell_length_a 6.605
_cell_length_b 6.605
_cell_length_c 6.605
_cell_angle_alpha 90.00
_cell_angle_beta 90.00
_cell_angle_gamma 90.00
loop_
_atom_site_label
_atom_site_type_symbol
_atom_site_fract_x
_atom_site_fract_y
_atom_site_fract_z
Tc1 Tc 0.000 0.000 0.000
Bi1 Bi 0.250 0.250 0.750
Sb1 Sb 0.250 0.250 0.250
```